Ba2SnS4 | PBE | optimized geometry

The structure in POSCAR format:
```
Ba2SnS4
1.0
9.072 0.000 0.000
0.000 8.357 0.155
0.000 4.786 11.209
Sn Ba S
4 8 16
Direct
0.688 0.696 0.994 Sn
0.312 0.304 0.006 Sn
0.188 0.304 0.506 Sn
0.812 0.696 0.494 Sn
0.110 0.598 0.156 Ba
0.657 0.034 0.159 Ba
0.343 0.966 0.841 Ba
0.890 0.402 0.844 Ba
0.843 0.034 0.659 Ba
0.157 0.966 0.341 Ba
0.390 0.598 0.656 Ba
0.610 0.402 0.344 Ba
0.384 0.261 0.207 S
0.692 0.415 0.604 S
0.616 0.739 0.793 S
0.131 0.078 0.042 S
0.484 0.738 0.109 S
0.984 0.262 0.391 S
0.308 0.585 0.396 S
0.116 0.261 0.707 S
0.808 0.415 0.104 S
0.631 0.922 0.458 S
0.192 0.585 0.896 S
0.369 0.078 0.542 S
0.869 0.922 0.958 S
0.016 0.738 0.609 S
0.884 0.739 0.293 S
0.516 0.262 0.891 S
```

- Formation energy without anion corrections: -1.422 eV/atom
- Spin magnetization: 0.0 μB per formula unit
- V: 843.02 Å³/cell
- DFT total energy: -0.360 Ry per atom